Here is crystalline Li2AsSe at its relaxed geometry from the Alexandria database. Energies are from GGA-PBE.

Lattice parameters (Å, degrees): 2.714 5.049 5.048 90.00 90.00 90.00
Space group Pmm2 (No. 25)
Symmetry-distinct sites (fractional):
Li 0.000 0.000 0.000 x1
Li 0.000 0.500 0.498 x1
As 0.500 0.500 0.998 x1
Se 0.500 0.000 0.499 x1

Uncorrected energy   -3.53 eV per atom
Crystal system   orthorhombic
Spin magnetization   0.00 μB/f.u.
D(E_F)   0.464 states/eV per atom
Uncorrected formation energy   -0.544 eV per atom

=====

Here is crystalline Li2AsSe at its relaxed geometry from the Alexandria database. Energies are from GGA-PBE.

Lattice parameters (Å, degrees): 8.343 3.584 4.759 90.00 105.83 90.00
Space group C2/m (No. 12)
Symmetry-distinct sites (fractional):
Li 0.248 0.000 0.252 x4
As 0.000 0.000 0.500 x2
Se 0.000 0.500 0.000 x2

Uncorrected energy   -3.57 eV per atom
Crystal system   monoclinic
Spin magnetization   0.00 μB/f.u.
D(E_F)   0.298 states/eV per atom
Uncorrected formation energy   -0.577 eV per atom

=====

Here is crystalline Li2AsSe at its relaxed geometry from the Alexandria database. Energies are from GGA-PBE.

Lattice parameters (Å, degrees): 3.660 3.660 5.295 90.00 90.00 90.00
Space group P4mm (No. 99)
Symmetry-distinct sites (fractional):
Li 0.000 0.000 0.000 x1
Li 0.500 0.500 0.332 x1
As 0.500 0.500 0.814 x1
Se 0.000 0.000 0.500 x1

Uncorrected energy   -3.34 eV per atom
Crystal system   tetragonal
Spin magnetization   0.00 μB/f.u.
D(E_F)   0.435 states/eV per atom
Uncorrected formation energy   -0.349 eV per atom

=====

Here is crystalline LiAsSe2 at its relaxed geometry from the Alexandria database. Energies are from GGA-PBE.

Lattice parameters (Å, degrees): 3.634 8.666 7.410 90.00 90.00 90.00
Space group Cmmm (No. 65)
Symmetry-distinct sites (fractional):
Li 0.000 0.000 0.000 x2
As 0.000 0.000 0.500 x2
Se 0.000 0.500 0.255 x4

Uncorrected energy   -3.58 eV per atom
Crystal system   orthorhombic
Spin magnetization   0.00 μB/f.u.
D(E_F)   0.603 states/eV per atom
Uncorrected formation energy   -0.199 eV per atom

=====

Here is crystalline LiAs2Se at its relaxed geometry from the Alexandria database. Energies are from GGA-PBE.

Lattice parameters (Å, degrees): 3.811 3.811 5.294 90.00 90.00 90.00
Space group P4/mmm (No. 123)
Symmetry-distinct sites (fractional):
Li 0.000 0.000 0.000 x1
As 0.000 0.500 0.500 x2
Se 0.500 0.500 0.000 x1

Uncorrected energy   -3.78 eV per atom
Crystal system   tetragonal
Spin magnetization   0.00 μB/f.u.
D(E_F)   0.231 states/eV per atom
Uncorrected formation energy   -0.106 eV per atom

=====

Here is crystalline Li2AsSe at its relaxed geometry from the Alexandria database. Energies are from GGA-PBE.

Lattice parameters (Å, degrees): 6.497 6.497 6.497 90.00 90.00 90.00
Space group Fm-3m (No. 225)
Symmetry-distinct sites (fractional):
Li 0.250 0.250 0.250 x8
As 0.000 0.000 0.000 x4
Se 0.000 0.000 0.500 x4

Uncorrected energy   -3.45 eV per atom
Crystal system   cubic
Spin magnetization   0.00 μB/f.u.
D(E_F)   0.454 states/eV per atom
Uncorrected formation energy   -0.461 eV per atom

=====

Here is crystalline LiAs2Se at its relaxed geometry from the Alexandria database. Energies are from GGA-PBE.

Lattice parameters (Å, degrees): 3.7254 3.7254 20.3693 90.00 90.00 120.00
Space group R3m (No. 160, hexagonal axes)
Symmetry-distinct sites (fractional):
Li 0.0000 0.0000 0.0000 x3
As 0.0000 0.0000 0.2318 x3
As 0.0000 0.0000 0.4957 x3
Se 0.0000 0.0000 0.7386 x3

Uncorrected energy   -3.96 eV per atom
Crystal system   trigonal
Spin magnetization   0.00 μB/f.u.
D(E_F)   0.528 states/eV per atom
Uncorrected formation energy   -0.290 eV per atom

=====

Here is crystalline Li8As2Se at its relaxed geometry from the Alexandria database. Energies are from GGA-PBE.

Lattice parameters (Å, degrees): 4.344 6.051 13.116 90.00 90.00 90.00
Space group Immm (No. 71)
Symmetry-distinct sites (fractional):
Li 0.000 0.000 0.185 x4
Li 0.000 0.236 0.346 x8
Li 0.000 0.277 0.000 x4
As 0.000 0.500 0.176 x4
Se 0.000 0.500 0.500 x2

Uncorrected energy   -3.38 eV per atom
Crystal system   orthorhombic
Spin magnetization   0.00 μB/f.u.
Uncorrected formation energy   -0.829 eV per atom

=====

Here is crystalline Li2AsSe at its relaxed geometry from the Alexandria database. Energies are from GGA-PBE.

Lattice parameters (Å, degrees): 2.869 2.869 10.188 90.00 90.00 90.00
Space group P4mm (No. 99)
Symmetry-distinct sites (fractional):
Li 0.000 0.000 0.000 x1
Li 0.500 0.500 0.267 x1
As 0.500 0.500 0.823 x1
Se 0.000 0.000 0.428 x1

Uncorrected energy   -3.26 eV per atom
Crystal system   tetragonal
Spin magnetization   0.00 μB/f.u.
D(E_F)   0.312 states/eV per atom
Uncorrected formation energy   -0.273 eV per atom

=====

Here is crystalline Li8AsSe6 at its relaxed geometry from the Alexandria database. Energies are from GGA-PBE.

Lattice parameters (Å, degrees): 7.373 7.829 10.935 90.00 90.00 90.00
Space group Pmn2_1 (No. 31)
Symmetry-distinct sites (fractional):
Li 0.000 0.125 0.000 x2
Li 0.000 0.246 0.439 x2
Li 0.211 0.577 0.788 x4
Li 0.214 0.738 0.111 x4
Li 0.222 0.943 0.780 x4
As 0.000 0.749 0.479 x2
Se 0.000 0.027 0.601 x2
Se 0.000 0.245 0.220 x2
Se 0.000 0.473 0.603 x2
Se 0.000 0.780 0.931 x2
Se 0.238 0.258 0.847 x4

Uncorrected energy   -3.68 eV per atom
Crystal system   orthorhombic
Spin magnetization   0.00 μB/f.u.
D(E_F)   0.100 states/eV per atom
Uncorrected formation energy   -0.954 eV per atom

=====

Here is crystalline LiAsSe2 at its relaxed geometry from the Alexandria database. Energies are from GGA-PBE.

Lattice parameters (Å, degrees): 3.846 6.000 7.495 90.00 90.00 90.00
Space group Immm (No. 71)
Symmetry-distinct sites (fractional):
Li 0.000 0.000 0.000 x2
As 0.000 0.000 0.500 x2
Se 0.000 0.500 0.242 x4

Uncorrected energy   -3.58 eV per atom
Crystal system   orthorhombic
Spin magnetization   0.00 μB/f.u.
D(E_F)   0.548 states/eV per atom
Uncorrected formation energy   -0.193 eV per atom

=====

Here is crystalline LiAs2Se at its relaxed geometry from the Alexandria database. Energies are from GGA-PBE.

Lattice parameters (Å, degrees): 6.747 6.747 6.747 90.00 90.00 90.00
Space group F-43m (No. 216)
Symmetry-distinct sites (fractional):
Li 0.000 0.000 0.000 x4
As 0.000 0.000 0.500 x4
As 0.250 0.250 0.750 x4
Se 0.250 0.250 0.250 x4

Uncorrected energy   -3.67 eV per atom
Crystal system   cubic
Spin magnetization   0.00 μB/f.u.
D(E_F)   0.239 states/eV per atom
Uncorrected formation energy   0.008 eV per atom

=====

Here is crystalline LiAsSe2 at its relaxed geometry from the Alexandria database. Energies are from GGA-PBE.

Lattice parameters (Å, degrees): 3.865 3.865 10.689 90.00 90.00 90.00
Space group I-4m2 (No. 119)
Symmetry-distinct sites (fractional):
Li 0.000 0.000 0.000 x2
As 0.000 0.500 0.250 x2
Se 0.000 0.000 0.500 x2
Se 0.000 0.500 0.750 x2

Uncorrected energy   -3.50 eV per atom
Crystal system   tetragonal
Spin magnetization   0.00 μB/f.u.
D(E_F)   0.529 states/eV per atom
Uncorrected formation energy   -0.120 eV per atom

=====

Here is crystalline LiAsSe2 at its relaxed geometry from the Alexandria database. Energies are from GGA-PBE.

Lattice parameters (Å, degrees): 6.802 6.802 6.802 90.00 90.00 90.00
Space group F-43m (No. 216)
Symmetry-distinct sites (fractional):
Li 0.000 0.000 0.000 x4
As 0.250 0.250 0.250 x4
Se 0.000 0.000 0.500 x4
Se 0.250 0.250 0.750 x4

Uncorrected energy   -3.22 eV per atom
Crystal system   cubic
Spin magnetization   0.00 μB/f.u.
D(E_F)   0.613 states/eV per atom
Uncorrected formation energy   0.165 eV per atom

=====

Here is crystalline LiAsSe2 at its relaxed geometry from the Alexandria database. Energies are from GGA-PBE.

Lattice parameters (Å, degrees): 3.360 3.360 6.923 90.00 90.00 90.00
Space group P4/mmm (No. 123)
Symmetry-distinct sites (fractional):
Li 0.000 0.000 0.000 x1
As 0.000 0.000 0.500 x1
Se 0.500 0.500 0.254 x2

Uncorrected energy   -3.48 eV per atom
Crystal system   tetragonal
Spin magnetization   0.00 μB/f.u.
D(E_F)   0.536 states/eV per atom
Uncorrected formation energy   -0.099 eV per atom

=====

Here is crystalline Li3AsSe at its relaxed geometry from the Alexandria database. Energies are from GGA-PBE.

Lattice parameters (Å, degrees): 4.800 4.800 4.800 90.00 90.00 90.00
Space group Pm-3m (No. 221)
Symmetry-distinct sites (fractional):
Li 0.000 0.000 0.500 x3
As 0.500 0.500 0.500 x1
Se 0.000 0.000 0.000 x1

Uncorrected energy   -3.24 eV per atom
Crystal system   cubic
Spin magnetization   2.00 μB/f.u.
D(E_F)   0.374 states/eV per atom
Uncorrected formation energy   -0.468 eV per atom

=====

Here is crystalline Li2AsSe at its relaxed geometry from the Alexandria database. Energies are from GGA-PBE.

Lattice parameters (Å, degrees): 6.666 6.666 6.666 90.00 90.00 90.00
Space group F-43m (No. 216)
Symmetry-distinct sites (fractional):
Li 0.000 0.000 0.000 x4
Li 0.250 0.250 0.250 x4
As 0.000 0.000 0.500 x4
Se 0.250 0.250 0.750 x4

Uncorrected energy   -3.22 eV per atom
Crystal system   cubic
Spin magnetization   0.00 μB/f.u.
D(E_F)   0.464 states/eV per atom
Uncorrected formation energy   -0.226 eV per atom

=====

Here is crystalline LiAs2Se4 at its relaxed geometry from the Alexandria database. Energies are from GGA-PBE.

Lattice parameters (Å, degrees): 3.720 12.511 13.497 90.00 90.00 90.00
Space group Cmcm (No. 63)
Symmetry-distinct sites (fractional):
Li 0.000 0.095 0.250 x4
As 0.000 0.360 0.075 x8
Se 0.000 0.000 0.000 x4
Se 0.000 0.281 0.616 x8
Se 0.000 0.449 0.250 x4

Uncorrected energy   -3.83 eV per atom
Crystal system   orthorhombic
Spin magnetization   0.00 μB/f.u.
D(E_F)   0.633 states/eV per atom
Uncorrected formation energy   -0.235 eV per atom

=====

Here is crystalline LiAsSe2 at its relaxed geometry from the Alexandria database. Energies are from GGA-PBE.

Lattice parameters (Å, degrees): 3.8658 3.8658 19.3651 90.00 90.00 120.00
Space group R-3m (No. 166, hexagonal axes)
Symmetry-distinct sites (fractional):
Li 0.0000 0.0000 0.0000 x3
As 0.0000 0.0000 0.5000 x3
Se 0.0000 0.0000 0.2472 x6

Uncorrected energy   -3.91 eV per atom
Crystal system   trigonal
Spin magnetization   0.00 μB/f.u.
Uncorrected formation energy   -0.531 eV per atom

=====

Here is crystalline LiAsSe2 at its relaxed geometry from the Alexandria database. Energies are from GGA-PBE.

Lattice parameters (Å, degrees): 13.205 3.801 3.955 90.00 93.95 90.00
Space group Cm (No. 8)
Symmetry-distinct sites (fractional):
Li 0.000 0.000 0.000 x2
As 0.168 0.500 0.557 x2
Se 0.210 0.000 0.980 x2
Se 0.489 0.000 0.492 x2

Uncorrected energy   -3.92 eV per atom
Crystal system   monoclinic
Spin magnetization   0.00 μB/f.u.
Uncorrected formation energy   -0.537 eV per atom